Below is a geometry-optimized Mn2PRu structure, with properties calculated at the PBE level.

- Calculated formation energy: 2.3 kcal/mol of atoms
- Final energy: -8.157 eV per atom
- Space group: P4/mmm, No. 123

```
Mn2PRu
1.0
-3.1495 0.1384 -2.6411
1.0027 -3.7379 -1.3915
-1.6642 -1.1625 1.9236
Mn P Ru
2 1 1
direct
0.0000 0.0000 0.0000
0.5000 0.5000 0.0000
0.5000 0.0000 0.5000
0.0000 0.5000 0.5000
```